The following is a PBE+U calculation of a geometry-optimized HfCr2FeO6 structure, from Alexandria.

Unit cell a=5.242 b=5.234 c=5.535 alpha=62.41 beta=62.05 gamma=60.14
Last column: magnetic moment on the atom in μB.
Element x y z (fractional)
Hf  0.307  0.311  0.073  0.04
Cr  0.513  0.516  0.455  2.99
Cr  0.015  0.015  0.954  2.99
Fe  0.811  0.809  0.578  3.78
O  0.623  0.238  0.235  -0.01
O  0.239  0.904  0.236  -0.01
O  0.902  0.625  0.243  -0.01
O  0.391  0.721  0.750  -0.01
O  0.724  0.134  0.745  -0.01
O  0.137  0.389  0.747  -0.01

Results
DOS at the Fermi energy: 0.00 states/eV per cell
E_tot: -8.3118 eV per atom